(1)
! PBE PrNi3Sn2, optimized geometry; values from VASP
! ρ: 8.1 g cm⁻³
! energy of formation from the pure elements: -0.14 eV per atom
&SYSTEM
  ibrav = 0, nat = 12, ntyp = 3
/
ATOMIC_SPECIES
Pr 140.91 Pr.upf
Ni 58.69 Ni.upf
Sn 118.71 Sn.upf
CELL_PARAMETERS angstrom
0.000 3.290 10.945
3.152 0.000 10.945
3.152 3.290 0.000
ATOMIC_POSITIONS crystal
Pr 0.143 0.143 0.857
Pr 0.857 0.857 0.143
Ni 0.251 0.622 0.378
Ni 0.322 0.322 0.678
Ni 0.378 0.749 0.251
Ni 0.622 0.251 0.749
Ni 0.678 0.678 0.322
Ni 0.749 0.378 0.622
Sn 0.218 0.782 0.782
Sn 0.250 0.250 0.250
Sn 0.750 0.750 0.750
Sn 0.782 0.218 0.218

(2)
! PBE Pr6Ni3Sn14, optimized geometry; values from VASP
! ρ: 7.6 g cm⁻³
! energy of formation from the pure elements: -0.59 eV per atom
&SYSTEM
  ibrav = 0, nat = 23, ntyp = 3
/
ATOMIC_SPECIES
Pr 140.91 Pr.upf
Ni 58.69 Ni.upf
Sn 118.71 Sn.upf
CELL_PARAMETERS angstrom
4.598 0.000 0.000
0.000 4.609 0.000
0.000 0.000 27.646
ATOMIC_POSITIONS crystal
Pr 0.000 0.000 0.000
Pr 0.000 0.000 0.370
Pr 0.000 0.500 0.497
Pr 0.000 0.500 0.869
Pr 0.500 0.000 0.683
Pr 0.500 0.500 0.185
Ni 0.500 0.000 0.554
Ni 0.500 0.000 0.813
Ni 0.500 0.500 0.057
Sn 0.000 0.000 0.188
Sn 0.000 0.000 0.592
Sn 0.000 0.000 0.774
Sn 0.000 0.500 0.096
Sn 0.000 0.500 0.280
Sn 0.000 0.500 0.683
Sn 0.500 0.000 0.095
Sn 0.500 0.000 0.279
Sn 0.500 0.000 0.463
Sn 0.500 0.000 0.903
Sn 0.500 0.500 0.394
Sn 0.500 0.500 0.592
Sn 0.500 0.500 0.774
Sn 0.500 0.500 0.966

(3)
! PBE Pr2Ni5Sn4, optimized geometry; values from VASP
! ρ: 7.9 g cm⁻³
! energy of formation from the pure elements: -0.34 eV per atom
&SYSTEM
  ibrav = 0, nat = 11, ntyp = 3
/
ATOMIC_SPECIES
Pr 140.91 Pr.upf
Ni 58.69 Ni.upf
Sn 118.71 Sn.upf
CELL_PARAMETERS angstrom
0.000 5.061 7.544
2.892 0.000 7.544
2.892 5.061 0.000
ATOMIC_POSITIONS crystal
Pr 0.140 0.140 0.860
Pr 0.860 0.860 0.140
Ni 0.000 0.000 0.500
Ni 0.250 0.250 0.250
Ni 0.500 0.500 0.000
Ni 0.500 0.500 0.500
Ni 0.750 0.750 0.750
Sn 0.213 0.529 0.471
Sn 0.471 0.787 0.213
Sn 0.529 0.213 0.787
Sn 0.787 0.471 0.529

(4)
! PBE PrNiSn2, optimized geometry; values from VASP
! ρ: 7.8 g cm⁻³
! energy of formation from the pure elements: -0.59 eV per atom
&SYSTEM
  ibrav = 0, nat = 16, ntyp = 3
/
ATOMIC_SPECIES
Pr 140.91 Pr.upf
Ni 58.69 Ni.upf
Sn 118.71 Sn.upf
CELL_PARAMETERS angstrom
-2.275 4.675 8.746
2.275 -4.675 8.746
2.275 4.675 -8.746
ATOMIC_POSITIONS crystal
Pr 0.206 0.206 0.000
Pr 0.238 0.000 0.238
Pr 0.762 0.000 0.762
Pr 0.794 0.794 0.000
Ni 0.098 0.351 0.747
Ni 0.396 0.649 0.747
Ni 0.604 0.351 0.253
Ni 0.902 0.649 0.253
Sn 0.080 0.580 0.500
Sn 0.142 0.805 0.337
Sn 0.416 0.416 0.000
Sn 0.468 0.805 0.663
Sn 0.532 0.195 0.337
Sn 0.584 0.584 0.000
Sn 0.858 0.195 0.663
Sn 0.920 0.420 0.500